(1)
A relaxed ZnAgBr2F crystal, computed with GGA-PBE.

Calculated values
Crystal system: tetragonal

Cell: 5.2813 5.2813 3.8857 Å, 90.00 90.00 90.00°
Closest atoms and distances in Å follow each position.
Space group P4/mmm (No. 123)
Unique sites:
Zn 0.0000 0.0000 0.0000 [1 per cell]  2 F 1.94
Ag 0.5000 0.5000 0.5000 [1 per cell]  8 Br 3.28
Br 0.0000 0.5000 0.0000 [2 per cell]  2 Zn 2.64
F 0.0000 0.0000 0.5000 [1 per cell]  2 Zn 1.94

***

(2)
A relaxed ZnAgBrF2 crystal, computed with GGA-PBE.

Calculated values
Crystal system: monoclinic
Energy above the lowest structure with this stoichiometry (kJ per mole of atoms): 0.0

Cell: 6.6403 4.0026 7.5193 Å, 90.00 92.60 90.00°
Closest atoms and distances in Å follow each position.
Space group P2_1/m (No. 11)
Unique sites:
Zn 0.0461 0.2500 0.3311 [2 per cell]  4 F 1.92-2.10
Ag 0.3622 0.2500 0.9121 [2 per cell]  2 F 2.46, 1 Br 2.75
Br 0.4025 0.2500 0.2782 [2 per cell]  1 Zn 2.42
F 0.0153 0.2500 0.6066 [2 per cell]  3 Zn 2.09-2.10
F 0.1511 0.7500 0.8629 [2 per cell]  1 Zn 1.92

***

(3)
A relaxed ZnAgBrF2 crystal, computed with GGA-PBE.

Calculated values
Crystal system: tetragonal
Energy above the lowest structure with this stoichiometry (kJ per mole of atoms): 3.6

Cell: 3.9815 3.9815 5.6946 Å, 90.00 90.00 90.00°
Closest atoms and distances in Å follow each position.
Space group P4/mmm (No. 123)
Unique sites:
Zn 0.0000 0.0000 0.0000 [1 per cell]  4 F 1.99
Ag 0.5000 0.5000 0.5000 [1 per cell]  4 Br 2.82
Br 0.0000 0.0000 0.5000 [1 per cell]  4 Ag 2.82, 2 Zn 2.85
F 0.0000 0.5000 0.0000 [2 per cell]  2 Zn 1.99

***

(4)
A relaxed FeAg2Br crystal, computed with GGA-PBE.

Calculated values
Crystal system: monoclinic
Energy above the lowest structure with this stoichiometry (kJ per mole of atoms): 28.4

Cell: 5.4719 11.1193 3.1723 Å, 90.00 125.07 90.00°
Closest atoms and distances in Å follow each position.
Space group C2/m (No. 12)
Unique sites:
Fe 0.0000 0.0000 0.0000 [2 per cell]  4 Br 2.74-2.75
Ag 0.2500 0.2500 0.5000 [4 per cell]  4 Ag 2.74-2.75
Br 0.0000 0.5000 0.0000 [2 per cell]  4 Fe 2.74-2.75

***

(5)
A relaxed FeAg2Br crystal, computed with GGA-PBE.

Calculated values
Crystal system: tetragonal
Energy above the lowest structure with this stoichiometry (kJ per mole of atoms): 13.5

Cell: 3.3509 3.3509 6.8362 Å, 90.00 90.00 90.00°
Closest atoms and distances in Å follow each position.
Space group P4/mmm (No. 123)
Unique sites:
Fe 0.0000 0.0000 0.0000 [1 per cell]  8 Ag 2.78
Ag 0.5000 0.5000 0.2132 [2 per cell]  4 Fe 2.78, 1 Ag 2.91, 4 Br 3.08
Br 0.0000 0.0000 0.5000 [1 per cell]  8 Ag 3.08, 4 Br 3.35, 2 Fe 3.42

***

(6)
A relaxed FeAg2Br6 crystal, computed with GGA-PBE.

Calculated values
Crystal system: monoclinic
Energy above the lowest structure with this stoichiometry (kJ per mole of atoms): 3.3

Cell: 6.9290 6.4503 13.2643 Å, 90.00 121.47 90.00°
Closest atoms and distances in Å follow each position.
Space group P2_1/c (No. 14)
Unique sites:
Fe 0.0000 0.0000 0.0000 [2 per cell]  6 Br 2.43-2.45
Ag 0.3155 0.0006 0.8167 [4 per cell]  6 Br 2.79-2.91
Br 0.0000 0.2232 0.8503 [4 per cell]  1 Fe 2.45
Br 0.2871 0.7149 0.4988 [4 per cell]  1 Fe 2.43
Br 0.3025 0.2138 0.1551 [4 per cell]  1 Fe 2.45

***

(7)
A relaxed FeAg2Br crystal, computed with GGA-PBE.

Calculated values
Crystal system: tetragonal
Energy above the lowest structure with this stoichiometry (kJ per mole of atoms): 35.7

Cell: 8.5062 8.5062 4.9191 Å, 90.00 90.00 90.00°
Closest atoms and distances in Å follow each position.
Space group I-42d (No. 122)
Unique sites:
Fe 0.0000 0.0000 0.0000 [4 per cell]  2 Br 2.46, 4 Ag 2.68
Ag 0.1773 0.2500 0.1250 [8 per cell]  2 Fe 2.68, 2 Ag 2.75
Br 0.0000 0.0000 0.5000 [4 per cell]  2 Fe 2.46

***

(8)
A relaxed FeAg2Br crystal, computed with GGA-PBE.

Calculated values
Crystal system: tetragonal
Energy above the lowest structure with this stoichiometry (kJ per mole of atoms): 32.5

Cell: 3.8551 3.8551 10.6335 Å, 90.00 90.00 90.00°
Closest atoms and distances in Å follow each position.
Space group I4/mmm (No. 139)
Unique sites:
Fe 0.0000 0.0000 0.0000 [2 per cell]  4 Br 2.73
Ag 0.0000 0.5000 0.2500 [4 per cell]  4 Ag 2.73
Br 0.0000 0.0000 0.5000 [2 per cell]  4 Fe 2.73

***

Number 1: spin magnetization 0.00 μB/cell, formation energy without anion corrections -0.87 eV per atom. Number 2: spin magnetization 0.00 μB/cell, formation energy without anion corrections -1.41 eV per atom. Number 3: spin magnetization 0.00 μB/cell, formation energy without anion corrections -1.37 eV per atom. Number 4: spin magnetization 6.42 μB/cell, formation energy without anion corrections 0.52 eV per atom. Number 5: spin magnetization 3.04 μB/cell, formation energy without anion corrections 0.37 eV per atom. Number 6: spin magnetization 3.96 μB/cell, formation energy without anion corrections -0.29 eV per atom. Number 7: spin magnetization 12.09 μB/cell, formation energy without anion corrections 0.60 eV per atom. Number 8: spin magnetization 6.39 μB/cell, formation energy without anion corrections 0.56 eV per atom.